Material: TaTlCu2Br8
Method: DFT, PBE-GGA
State: optimized geometry

The structure belongs to space group R32 (No. 155, hexagonal axes); the cell edges are 6.4209, 6.4209 and 33.9882 Å and the angles 90.00°, 90.00° and 120.00°. The inequivalent atoms are Ta at (0.0000, 0.0000, 0.0000), Tl at (0.0000, 0.0000, 0.5000), Cu at (0.0000, 0.0000, 0.2579), Br at (0.0000, 0.0000, 0.1897) and Br at (0.0180, 0.3149, 0.0487).

The theoretical density is 4.73 g/cm3.

Material: YTa2CuBr
Method: DFT, PBE-GGA
State: optimized geometry

The structure belongs to space group P4/mmm (No. 123); the cell edges are 4.6917, 4.6917 and 5.4730 Å and the angles 90.00°, 90.00° and 90.00°. The inequivalent atoms are Y at (0.0000, 0.0000, 0.0000), Ta at (0.0000, 0.5000, 0.5000), Cu at (0.0000, 0.0000, 0.5000) and Br at (0.5000, 0.5000, 0.0000).

The theoretical density is 8.19 g/cm3.

Material: TbCu2Br6
Method: DFT, PBE-GGA
State: optimized geometry

The structure belongs to space group C2/c (No. 15); the cell edges are 14.7688, 12.2051 and 6.9034 Å and the angles 90.00°, 97.80° and 90.00°. The inequivalent atoms are Tb at (0.0000, 0.0975, 0.2500), Cu at (0.1152, 0.4276, 0.2749), Br at (0.1100, 0.0698, 0.6118), Br at (0.1218, 0.4064, 0.6168) and Br at (0.1226, 0.2534, 0.1303).

The theoretical density is 4.12 g/cm3. Its relative energy among the computed polymorphs is 13 meV per atom.

Material: Tb4CuBr5
Method: DFT, PBE-GGA
State: optimized geometry

The structure belongs to space group C2/m (No. 12); the cell edges are 18.2497, 3.9539 and 8.5276 Å and the angles 90.00°, 102.61° and 90.00°. The inequivalent atoms are Tb at (0.0008, 0.0000, 0.2225), Tb at (0.1508, 0.5000, 0.0783), Cu at (0.0000, 0.5000, 0.0000), Br at (0.0000, 0.5000, 0.5000), Br at (0.1675, 0.0000, 0.3359) and Br at (0.1752, 0.0000, 0.8334).

The theoretical density is 6.08 g/cm3.

Material: TbCuBr
Method: DFT, PBE-GGA
State: optimized geometry

The structure belongs to space group C2/m (No. 12); the cell edges are 6.7361, 3.8890 and 12.6421 Å and the angles 90.00°, 100.26° and 90.00°. The inequivalent atoms are Tb at (0.1029, 0.0000, 0.3103), Cu at (0.1828, 0.0000, 0.5478) and Br at (0.1152, 0.5000, 0.8437).

The theoretical density is 6.16 g/cm3.

Material: TbCu2Br6
Method: DFT, PBE-GGA
State: optimized geometry

The structure belongs to space group C2/c (No. 15); the cell edges are 15.2365, 12.9386 and 7.0720 Å and the angles 90.00°, 113.71° and 90.00°. The inequivalent atoms are Tb at (0.0000, 0.0883, 0.2500), Cu at (0.0668, 0.4100, 0.1596), Br at (0.1108, 0.4329, 0.5377), Br at (0.1160, 0.2347, 0.1631) and Br at (0.1176, 0.0641, 0.6728).

The theoretical density is 3.98 g/cm3. Its relative energy among the computed polymorphs is 0 meV per atom.

Material: TbTl2CuBr6
Method: DFT, PBE-GGA
State: optimized geometry

The structure belongs to space group C2/m (No. 12); the cell edges are 14.5303, 7.5027 and 6.8874 Å and the angles 90.00°, 111.78° and 90.00°. The inequivalent atoms are Tb at (0.0000, 0.0000, 0.0000), Tl at (0.2403, 0.5000, 0.1931), Cu at (0.0000, 0.5000, 0.5000), Br at (0.0660, 0.2627, 0.7842) and Br at (0.1951, 0.0000, 0.2920).

The theoretical density is 5.29 g/cm3.

Material: CuTcBr2
Method: DFT, PBE-GGA
State: optimized geometry

The structure belongs to space group F-43m (No. 216); the cell edges are 6.9621, 6.9621 and 6.9621 Å and the angles 90.00°, 90.00° and 90.00°. The inequivalent atoms are Cu at (0.0000, 0.0000, 0.0000), Tc at (0.2500, 0.2500, 0.2500), Br at (0.0000, 0.0000, 0.5000) and Br at (0.2500, 0.2500, 0.7500).

The theoretical density is 6.33 g/cm3. Its relative energy among the computed polymorphs is 756 meV per atom.

Material: CuTcBr2
Method: DFT, PBE-GGA
State: optimized geometry

The structure belongs to space group C2/m (No. 12); the cell edges are 6.6636, 8.0734 and 3.3989 Å and the angles 90.00°, 96.52° and 90.00°. The inequivalent atoms are Cu at (0.0000, 0.0000, 0.0000), Tc at (0.0000, 0.5000, 0.0000) and Br at (0.2500, 0.2500, 0.0000).

The theoretical density is 5.87 g/cm3. Its relative energy among the computed polymorphs is 421 meV per atom.

Material: CuTcBr2
Method: DFT, PBE-GGA
State: optimized geometry

The structure belongs to space group C2/m (No. 12); the cell edges are 15.3996, 3.1738 and 4.2722 Å and the angles 90.00°, 105.85° and 90.00°. The inequivalent atoms are Cu at (0.0000, 0.0000, 0.0000), Tc at (0.0000, 0.5000, 0.5000) and Br at (0.1358, 0.0000, 0.6329).

The theoretical density is 5.31 g/cm3. Its relative energy among the computed polymorphs is 4 meV per atom.

Material: CuTcBr2
Method: DFT, PBE-GGA
State: optimized geometry

The structure belongs to space group Immm (No. 71); the cell edges are 3.2879, 6.3071 and 8.1693 Å and the angles 90.00°, 90.00° and 90.00°. The inequivalent atoms are Cu at (0.0000, 0.0000, 0.0000), Tc at (0.0000, 0.0000, 0.5000) and Br at (0.0000, 0.5000, 0.2502).

The theoretical density is 6.30 g/cm3. Its relative energy among the computed polymorphs is 403 meV per atom.

Material: CuTc3Br
Method: DFT, PBE-GGA
State: optimized geometry

The structure belongs to space group Pm-3m (No. 221); the cell edges are 4.5295, 4.5295 and 4.5295 Å and the angles 90.00°, 90.00° and 90.00°. The inequivalent atoms are Cu at (0.0000, 0.0000, 0.0000), Tc at (0.0000, 0.5000, 0.5000) and Br at (0.5000, 0.5000, 0.5000).

The theoretical density is 7.82 g/cm3. Its relative energy among the computed polymorphs is 0 meV per atom.

Sequential formation energy from raw total energies output: -556.8; 942.1; -967.4; -1285.4; -817.3; -980.5; -1093.0; 1010.3; 675.0; 258.1; 656.9; 1752.0 meV/atom